{
  "formula": "Mg2NbHgAs",
  "functional": "PBE-GGA",
  "state": "relaxed",
  "vol_a3_per_cell": 129,
  "e_form_ev_per_atom": 0.788,
  "final_energy_ev_per_atom": -2.854,
  "lattice_angstrom": [[4.865, 0.000, 0.000], [0.000, 4.865, 0.000], [0.000, 0.000, 5.447]],
  "species": ["Mg", "Mg", "Nb", "Hg", "As"],
  "frac_coords": [[0.000, 0.500, 0.000], [0.500, 0.000, 0.000], [0.000, 0.000, 0.500], [0.500, 0.500, 0.500], [0.500, 0.500, 0.000]]
}

{
  "formula": "MnNbCoRe",
  "functional": "PBE-GGA",
  "state": "relaxed",
  "vol_a3_per_cell": 57,
  "e_form_ev_per_atom": 0.035,
  "final_energy_ev_per_atom": -9.663,
  "lattice_angstrom": [[0.000, 3.059, 3.059], [3.059, 0.000, 3.059], [3.059, 3.059, 0.000]],
  "species": ["Mn", "Nb", "Co", "Re"],
  "frac_coords": [[0.000, 0.000, 0.000], [0.500, 0.500, 0.500], [0.750, 0.750, 0.750], [0.250, 0.250, 0.250]]
}

{
  "formula": "NiBi2BRu",
  "functional": "PBE-GGA",
  "state": "relaxed",
  "vol_a3_per_cell": 123,
  "e_form_ev_per_atom": 1.520,
  "final_energy_ev_per_atom": -4.379,
  "lattice_angstrom": [[5.172, 0.000, 0.000], [0.000, 5.172, 0.000], [0.000, 0.000, 4.609]],
  "species": ["Ni", "Bi", "Bi", "B", "Ru"],
  "frac_coords": [[0.000, 0.000, 0.000], [0.000, 0.500, 0.500], [0.500, 0.000, 0.500], [0.500, 0.500, 0.000], [0.000, 0.000, 0.500]]
}

{
  "formula": "NaSnBiPb",
  "functional": "PBE-GGA",
  "state": "relaxed",
  "vol_a3_per_cell": 118,
  "e_form_ev_per_atom": -0.028,
  "de_polymorph_mev_per_atom": 96,
  "final_energy_ev_per_atom": -3.256,
  "lattice_angstrom": [[0.000, 3.895, 3.895], [3.895, 0.000, 3.895], [3.895, 3.895, 0.000]],
  "species": ["Na", "Sn", "Bi", "Pb"],
  "frac_coords": [[0.000, 0.000, 0.000], [0.500, 0.500, 0.500], [0.250, 0.250, 0.250], [0.750, 0.750, 0.750]]
}

{
  "formula": "PRh2Pb2",
  "functional": "PBE-GGA",
  "state": "relaxed",
  "vol_a3_per_cell": 206,
  "e_form_ev_per_atom": -0.071,
  "final_energy_ev_per_atom": -5.577,
  "lattice_angstrom": [[6.098, 0.000, 0.000], [0.000, 6.098, 0.000], [0.000, 0.000, 5.550]],
  "species": ["P", "P", "Rh", "Rh", "Rh", "Rh", "Pb", "Pb", "Pb", "Pb"],
  "frac_coords": [[0.000, 0.000, 0.000], [0.500, 0.500, 0.000], [0.162, 0.338, 0.000], [0.338, 0.838, 0.000], [0.662, 0.162, 0.000], [0.838, 0.662, 0.000], [0.183, 0.683, 0.500], [0.317, 0.183, 0.500], [0.683, 0.817, 0.500], [0.817, 0.317, 0.500]]
}

{
  "formula": "ZnBr",
  "functional": "PBE-GGA",
  "state": "relaxed",
  "formation_energy_uncorrected_ev_per_atom": -0.330,
  "vol_a3_per_cell": 98,
  "final_energy_ev_per_atom": -1.804,
  "lattice_angstrom": [[2.795, -4.890, 0.000], [2.795, 4.890, 0.000], [0.000, 0.000, 3.602]],
  "species": ["Zn", "Zn", "Br", "Br"],
  "frac_coords": [[0.096, 0.904, 0.750], [0.904, 0.096, 0.250], [0.341, 0.659, 0.750], [0.659, 0.341, 0.250]]
}

{
  "formula": "Ba2Na2Sr4Ir",
  "functional": "PBE-GGA",
  "state": "relaxed",
  "vol_a3_per_cell": 443,
  "e_form_ev_per_atom": -0.104,
  "final_energy_ev_per_atom": -2.557,
  "lattice_angstrom": [[7.451, -4.237, 0.000], [7.451, 4.237, 0.000], [-0.091, 0.000, 7.018]],
  "species": ["Ba", "Ba", "Na", "Na", "Sr", "Sr", "Sr", "Sr", "Ir"],
  "frac_coords": [[0.167, 0.167, 0.241], [0.833, 0.833, 0.759], [0.333, 0.333, 0.748], [0.667, 0.667, 0.252], [0.169, 0.675, 0.238], [0.325, 0.831, 0.762], [0.675, 0.169, 0.238], [0.831, 0.325, 0.762], [0.000, 0.000, 0.000]]
}

{
  "formula": "Er3InTe6",
  "functional": "PBE-GGA",
  "state": "relaxed",
  "formation_energy_uncorrected_ev_per_atom": -1.059,
  "vol_a3_per_cell": 662,
  "final_energy_ev_per_atom": -4.587,
  "lattice_angstrom": [[6.027, -7.481, 0.000], [6.027, 7.481, 0.000], [0.000, 0.000, 7.343]],
  "species": ["Er", "Er", "Er", "Er", "Er", "Er", "In", "In", "Te", "Te", "Te", "Te", "Te", "Te", "Te", "Te", "Te", "Te", "Te", "Te"],
  "frac_coords": [[0.092, 0.908, 0.500], [0.220, 0.414, 0.394], [0.414, 0.220, 0.894], [0.586, 0.780, 0.394], [0.780, 0.586, 0.894], [0.908, 0.092, 0.000], [0.294, 0.706, 0.867], [0.706, 0.294, 0.367], [0.049, 0.598, 0.655], [0.126, 0.202, 0.701], [0.202, 0.126, 0.201], [0.277, 0.723, 0.248], [0.402, 0.951, 0.655], [0.467, 0.533, 0.697], [0.533, 0.467, 0.197], [0.598, 0.049, 0.155], [0.723, 0.277, 0.748], [0.798, 0.874, 0.701], [0.874, 0.798, 0.201], [0.951, 0.402, 0.155]]
}

| no. | theoretical density (kg/m³) |
| --- | --- |
| 1 | 5371 |
| 2 | 11404 |
| 3 | 7929 |
| 4 | 7841 |
| 5 | 10479 |
| 6 | 4901 |
| 7 | 3235 |
| 8 | 6932 |